The following is a PBE calculation of a geometry-optimized Pa2SnN structure, from Alexandria via LeMat-Bulk.

The formation energy from raw total energies comes out at -346 meV per atom. As for the excess energy over the best structure of this formula in the dataset: 390 meV/atom. As for the density of states at the Fermi level: 1.62 states/eV per atom.

It has space group P4/mmm (No. 123), with a = 3.1252 Å, b = 3.1252 Å, c = 7.9125 Å, α = 90.00°, β = 90.00° and γ = 90.00°. The asymmetric unit holds Pa at (0.0000, 0.0000, 0.1885), Sn at (0.5000, 0.5000, 0.5000) and N at (0.5000, 0.5000, 0.0000).



The following is a PBE calculation of a geometry-optimized PaSnN structure, from Alexandria via LeMat-Bulk.

The formation energy from raw total energies comes out at -843 meV per atom. As for the excess energy over the best structure of this formula in the dataset: 221 meV/atom. As for the density of states at the Fermi level: 0.48 states/eV per atom.

It has space group P-6m2 (No. 187), with a = 3.7811 Å, b = 3.7811 Å, c = 5.3910 Å, α = 90.00°, β = 90.00° and γ = 120.00°. The asymmetric unit holds Pa at (0.0000, 0.0000, 0.0000), Sn at (0.6667, 0.3333, 0.5000) and N at (0.3333, 0.6667, 0.0000).



The following is a PBE calculation of a geometry-optimized Pa6Sn2N structure, from Alexandria via LeMat-Bulk.

The formation energy from raw total energies comes out at -449 meV per atom. As for the density of states at the Fermi level: 1.65 states/eV per atom.

It has space group I4/mmm (No. 139), with a = 6.4216 Å, b = 6.4216 Å, c = 9.9103 Å, α = 90.00°, β = 90.00° and γ = 90.00°. The asymmetric unit holds Pa at (0.0000, 0.0000, 0.2377), Pa at (0.2336, 0.2336, 0.5000), Sn at (0.0000, 0.5000, 0.2500) and N at (0.0000, 0.0000, 0.0000).



Values of E, in order: -8.1760, -8.1175, -8.5940, all in eV/atom.